# Cs2NaHgF6

A relaxed Cs2NaHgF6 crystal (PBE-GGA, OQMD).

Computed properties:
Space group: R-3m, No. 166
Electronic total energy, eV/cell: -71.23

Lattice parameters (Å, degrees): 11.065 11.065 11.065 32.63 32.63 32.63
Element x y z (fractional)
Cs  0.127  0.127  0.127
Cs  0.286  0.286  0.286
Cs  0.714  0.714  0.714
Cs  0.873  0.873  0.873
Na  0.409  0.409  0.409
Na  0.591  0.591  0.591
Hg  0.000  0.000  0.000
Hg  0.500  0.500  0.500
F  0.131  0.620  0.620
F  0.204  0.204  0.712
F  0.204  0.712  0.204
F  0.288  0.796  0.796
F  0.380  0.380  0.869
F  0.380  0.869  0.380
F  0.620  0.131  0.620
F  0.620  0.620  0.131
F  0.712  0.204  0.204
F  0.796  0.288  0.796
F  0.796  0.796  0.288
F  0.869  0.380  0.380